No. 1
Entry from Alexandria via LeMat-Bulk: crystalline TlPdAu14 at its relaxed geometry (PBE).

a = 5.9959 Å, b = 5.9959 Å, c = 8.1397 Å
α = 90.00°, β = 90.00°, γ = 90.00°
Fractional positions:
Tl1 0.8750 0.8750 0.5000
Pd1 0.3750 0.3750 0.5000
Au1 0.8750 0.8750 0.0000
Au2 0.3750 0.3750 0.0000
Au3 0.8750 0.3750 0.5000
Au4 0.8750 0.3750 0.0000
Au5 0.3750 0.8750 0.5000
Au6 0.3750 0.8750 0.0000
Au7 0.6204 0.1296 0.2482
Au8 0.6204 0.1296 0.7518
Au9 0.1296 0.6204 0.2482
Au10 0.1296 0.6204 0.7518
Au11 0.6204 0.6204 0.2482
Au12 0.6204 0.6204 0.7518
Au13 0.1296 0.1296 0.2482
Au14 0.1296 0.1296 0.7518

Summary:
Total DFT energy (no corrections) ... -53.3 eV/f.u.



No. 2
Entry from Alexandria via LeMat-Bulk: crystalline TlPd2Au2 at its relaxed geometry (PBE).

a = 5.4615 Å, b = 7.3902 Å, c = 9.4010 Å
α = 90.00°, β = 101.77°, γ = 90.00°
Fractional positions:
Tl1 0.1427 0.1205 0.2779
Tl2 0.8573 0.8795 0.7221
Tl3 0.6427 0.3795 0.2779
Tl4 0.3573 0.6205 0.7221
Pd1 0.5789 0.0276 0.1501
Pd2 0.0789 0.4724 0.1501
Pd3 0.9211 0.5276 0.8499
Pd4 0.4211 0.9724 0.8499
Pd5 0.7685 0.5533 0.5467
Pd6 0.2685 0.9467 0.5467
Pd7 0.7315 0.0533 0.4533
Pd8 0.2315 0.4467 0.4533
Au1 0.3811 0.3238 0.9657
Au2 0.8811 0.1762 0.9657
Au3 0.1189 0.8238 0.0343
Au4 0.6189 0.6762 0.0343
Au5 0.9298 0.7538 0.3232
Au6 0.4298 0.7462 0.3232
Au7 0.5702 0.2538 0.6768
Au8 0.0702 0.2462 0.6768

Summary:
Total DFT energy (no corrections) ... -19.6 eV/f.u.



No. 3
Entry from Alexandria via LeMat-Bulk: crystalline TlPd2Au2 at its relaxed geometry (PBE).

a = 7.0968 Å, b = 7.0968 Å, c = 3.8159 Å
α = 90.00°, β = 90.00°, γ = 90.00°
Fractional positions:
Tl1 0.0000 0.0000 0.0000
Tl2 0.5000 0.5000 0.0000
Au1 0.1557 0.6557 0.5000
Au2 0.6557 0.8443 0.5000
Au3 0.8443 0.3443 0.5000
Au4 0.3443 0.1557 0.5000
Pd1 0.3610 0.8610 0.0000
Pd2 0.8610 0.6390 0.0000
Pd3 0.6390 0.1390 0.0000
Pd4 0.1390 0.3610 0.0000

Summary:
Total DFT energy (no corrections) ... -19.6 eV/f.u.



No. 4
Entry from Alexandria via LeMat-Bulk: crystalline TlPd4Au at its relaxed geometry (PBE).

a = 5.3365 Å, b = 5.3365 Å, c = 5.3365 Å
α = 60.00°, β = 60.00°, γ = 60.00°
Fractional positions:
Tl1 0.2500 0.2500 0.2500
Au1 0.0000 0.0000 0.0000
Pd1 0.6253 0.6253 0.1242
Pd2 0.6253 0.1242 0.6253
Pd3 0.6253 0.6253 0.6253
Pd4 0.1242 0.6253 0.6253

Summary:
Total DFT energy (no corrections) ... -26.0 eV/f.u.



No. 5
Entry from Alexandria via LeMat-Bulk: crystalline TlPd2Au2 at its relaxed geometry (PBE).

a = 5.2301 Å, b = 5.2287 Å, c = 4.2607 Å
α = 65.90°, β = 65.88°, γ = 88.20°
Fractional positions:
Tl1 0.0000 0.5000 0.0000
Pd1 0.7227 0.2216 0.7792
Pd2 0.2773 0.7784 0.2208
Au1 0.3088 0.1930 0.4997
Au2 0.6912 0.8070 0.5003

Summary:
Total DFT energy (no corrections) ... -19.6 eV/f.u.



No. 6
Entry from Alexandria via LeMat-Bulk: crystalline Tl3PdAu at its relaxed geometry (PBE).

a = 6.8483 Å, b = 7.7042 Å, c = 9.8840 Å
α = 105.44°, β = 90.00°, γ = 90.00°
Fractional positions:
Tl1 0.3187 0.1410 0.2287
Tl2 0.6813 0.8590 0.7713
Tl3 0.8187 0.3590 0.2713
Tl4 0.1813 0.6410 0.7287
Tl5 0.9962 0.7920 0.0672
Tl6 0.0038 0.2080 0.9328
Tl7 0.4962 0.7080 0.4328
Tl8 0.5038 0.2920 0.5672
Tl9 0.5198 0.7111 0.0804
Tl10 0.4802 0.2889 0.9196
Tl11 0.0198 0.7889 0.4196
Tl12 0.9802 0.2111 0.5804
Pd1 0.3118 0.9395 0.9384
Pd2 0.6882 0.0605 0.0616
Pd3 0.8118 0.5605 0.5616
Pd4 0.1882 0.4395 0.4384
Au1 0.7011 0.9959 0.3338
Au2 0.2989 0.0041 0.6662
Au3 0.2011 0.5041 0.1662
Au4 0.7989 0.4959 0.8338

Summary:
Total DFT energy (no corrections) ... -15.9 eV/f.u.



No. 7
Entry from Alexandria via LeMat-Bulk: crystalline Tl5Pd2Au at its relaxed geometry (PBE).

a = 3.4853 Å, b = 8.2195 Å, c = 13.5510 Å
α = 90.00°, β = 90.00°, γ = 90.00°
Fractional positions:
Tl1 0.5000 0.3160 0.1250
Tl2 0.5000 0.6840 0.8750
Tl3 0.5000 0.8160 0.3750
Tl4 0.5000 0.1840 0.6250
Tl5 0.0000 0.8146 0.6827
Tl6 0.0000 0.1854 0.3173
Tl7 0.0000 0.3146 0.8173
Tl8 0.0000 0.6854 0.1827
Tl9 0.0000 0.5000 0.5000
Tl10 0.0000 0.0000 0.0000
Pd1 0.5000 0.4820 0.3228
Pd2 0.5000 0.5180 0.6772
Pd3 0.5000 0.0180 0.8228
Pd4 0.5000 0.9820 0.1772
Au1 0.0000 0.0000 0.5000
Au2 0.0000 0.5000 0.0000

Summary:
Total DFT energy (no corrections) ... -25.8 eV/f.u.



No. 8
Entry from Alexandria via LeMat-Bulk: crystalline Tl3PdAu2 at its relaxed geometry (PBE).

a = 5.9519 Å, b = 7.8570 Å, c = 7.8570 Å
α = 131.13°, β = 90.00°, γ = 90.00°
Fractional positions:
Tl1 0.1639 0.2999 0.2999
Tl2 0.6639 0.7001 0.7001
Tl3 0.6639 0.1925 0.5745
Tl4 0.6639 0.5745 0.1925
Tl5 0.1639 0.4255 0.8075
Tl6 0.1639 0.8075 0.4255
Pd1 0.1638 0.7513 0.7513
Pd2 0.6638 0.2487 0.2487
Au1 0.4137 0.1316 0.8685
Au2 0.9137 0.8684 0.1315
Au3 0.4137 0.8685 0.1316
Au4 0.9137 0.1315 0.8684

Summary:
Total DFT energy (no corrections) ... -19.1 eV/f.u.



No. 9
Entry from Alexandria via LeMat-Bulk: crystalline Tl2PdAu2 at its relaxed geometry (PBE).

a = 4.2664 Å, b = 4.2664 Å, c = 7.2610 Å
α = 72.92°, β = 72.92°, γ = 90.00°
Fractional positions:
Tl1 0.7500 0.2500 0.5000
Tl2 0.2500 0.7500 0.5000
Au1 0.4016 0.4016 0.1968
Au2 0.5984 0.5984 0.8032
Pd1 0.0000 0.0000 0.0000

Summary:
Total DFT energy (no corrections) ... -14.7 eV/f.u.



No. 10
Entry from Alexandria via LeMat-Bulk: crystalline Tl2PdAu at its relaxed geometry (PBE).

a = 3.4909 Å, b = 3.4909 Å, c = 8.7004 Å
α = 78.43°, β = 78.43°, γ = 60.00°
Fractional positions:
Tl1 0.0802 0.0802 0.7595
Tl2 0.2535 0.2535 0.2394
Pd1 0.6663 0.6663 0.0012
Au1 0.5001 0.5001 0.4998

Summary:
Total DFT energy (no corrections) ... -13.1 eV/f.u.



No. 11
Entry from Alexandria via LeMat-Bulk: crystalline Tl2Pd8Au at its relaxed geometry (PBE).

a = 4.1529 Å, b = 6.4820 Å, c = 7.5265 Å
α = 106.71°, β = 106.01°, γ = 90.00°
Fractional positions:
Tl1 0.7796 0.3412 0.5592
Tl2 0.2204 0.6588 0.4408
Pd1 0.4086 0.5463 0.8172
Pd2 0.6751 0.9080 0.3502
Pd3 0.8608 0.8145 0.7215
Pd4 0.9615 0.2744 0.9230
Pd5 0.1392 0.1855 0.2785
Pd6 0.3249 0.0920 0.6498
Pd7 0.5914 0.4537 0.1828
Pd8 0.0385 0.7256 0.0770
Au1 0.5000 0.0000 0.0000

Summary:
Total DFT energy (no corrections) ... -51.0 eV/f.u.



No. 12
Entry from Alexandria via LeMat-Bulk: crystalline Tl2Pd6Au at its relaxed geometry (PBE).

a = 4.4221 Å, b = 7.4578 Å, c = 7.4578 Å
α = 44.98°, β = 72.61°, γ = 72.61°
Fractional positions:
Tl1 0.8411 0.6592 0.6592
Tl2 0.1589 0.3408 0.3408
Pd1 0.3969 0.3418 0.8658
Pd2 0.2084 0.7913 0.7913
Pd3 0.3969 0.8658 0.3418
Pd4 0.6031 0.6582 0.1342
Pd5 0.7916 0.2087 0.2087
Pd6 0.6031 0.1342 0.6582
Au1 0.0000 0.0000 0.0000

Summary:
Total DFT energy (no corrections) ... -40.0 eV/f.u.



No. 13
Entry from Alexandria via LeMat-Bulk: crystalline Tl2Pd8Au at its relaxed geometry (PBE).

a = 4.0354 Å, b = 8.1844 Å, c = 7.4451 Å
α = 123.34°, β = 105.72°, γ = 90.00°
Fractional positions:
Tl1 0.1551 0.6551 0.3101
Tl2 0.8449 0.3449 0.6899
Pd1 0.6652 0.9148 0.3304
Pd2 0.3348 0.5844 0.6696
Pd3 0.1691 0.1691 0.3382
Pd4 0.0000 0.2447 0.0000
Pd5 0.8309 0.8309 0.6618
Pd6 0.6652 0.4156 0.3304
Pd7 0.3348 0.0852 0.6696
Pd8 0.0000 0.7553 0.0000
Au1 0.5000 0.0000 0.0000

Summary:
Total DFT energy (no corrections) ... -50.8 eV/f.u.



No. 14
Entry from Alexandria via LeMat-Bulk: crystalline Tl3Pd6Au at its relaxed geometry (PBE).

a = 4.9408 Å, b = 8.8284 Å, c = 8.8284 Å
α = 98.69°, β = 90.00°, γ = 90.00°
Fractional positions:
Tl1 0.4507 0.8837 0.6939
Tl2 0.9507 0.6939 0.8837
Tl3 0.1049 0.3705 0.6295
Tl4 0.6049 0.6295 0.3705
Tl5 0.9507 0.1163 0.3061
Tl6 0.4507 0.3061 0.1163
Pd1 0.0576 0.6805 0.5661
Pd2 0.5576 0.5661 0.6805
Pd3 0.4304 0.5846 0.9959
Pd4 0.9304 0.9959 0.5846
Pd5 0.1907 0.9486 0.0514
Pd6 0.6454 0.2586 0.7414
Pd7 0.1454 0.7414 0.2586
Pd8 0.6907 0.0514 0.9486
Pd9 0.4304 0.0041 0.4154
Pd10 0.9304 0.4154 0.0041
Pd11 0.0576 0.4339 0.3195
Pd12 0.5576 0.3195 0.4339
Au1 0.1670 0.1547 0.8453
Au2 0.6670 0.8453 0.1547

Summary:
Total DFT energy (no corrections) ... -42.1 eV/f.u.



No. 15
Entry from Alexandria via LeMat-Bulk: crystalline Tl6Pd12Au at its relaxed geometry (PBE).

a = 7.5607 Å, b = 7.5607 Å, c = 7.5607 Å
α = 107.11°, β = 107.11°, γ = 107.11°
Fractional positions:
Tl1 0.7912 0.9036 0.5375
Tl2 0.4625 0.2088 0.0964
Tl3 0.0964 0.4625 0.2088
Tl4 0.2088 0.0964 0.4625
Tl5 0.5375 0.7912 0.9036
Tl6 0.9036 0.5375 0.7912
Pd1 0.8204 0.5168 0.4003
Pd2 0.4003 0.8204 0.5168
Pd3 0.5168 0.4003 0.8204
Pd4 0.1796 0.4832 0.5997
Pd5 0.5997 0.1796 0.4832
Pd6 0.4832 0.5997 0.1796
Pd7 0.8756 0.7279 0.1656
Pd8 0.2721 0.8344 0.1244
Pd9 0.8344 0.1244 0.2721
Pd10 0.1244 0.2721 0.8344
Pd11 0.7279 0.1656 0.8756
Pd12 0.1656 0.8756 0.7279
Au1 0.0000 0.0000 0.0000

Summary:
Total DFT energy (no corrections) ... -82.3 eV/f.u.



No. 16
Entry from Alexandria via LeMat-Bulk: crystalline TlPdAu2 at its relaxed geometry (PBE).

a = 3.3574 Å, b = 3.3574 Å, c = 6.9958 Å
α = 90.00°, β = 90.00°, γ = 90.00°
Fractional positions:
Tl1 0.5000 0.5000 0.5000
Au1 0.0000 0.0000 0.7837
Au2 0.0000 0.0000 0.2163
Pd1 0.5000 0.5000 0.0000

Summary:
Total DFT energy (no corrections) ... -14.0 eV/f.u.



No. 17
Entry from Alexandria via LeMat-Bulk: crystalline Tl5Pd12Au2 at its relaxed geometry (PBE).

a = 8.0214 Å, b = 10.0137 Å, c = 6.4910 Å
α = 129.25°, β = 90.00°, γ = 113.61°
Fractional positions:
Tl1 0.3395 0.6789 0.6151
Tl2 0.2476 0.4952 0.9600
Tl3 0.0000 0.0000 0.5000
Tl4 0.7524 0.5048 0.0400
Tl5 0.6605 0.3211 0.3849
Pd1 0.1370 0.2741 0.3851
Pd2 0.0343 0.6153 0.8234
Pd3 0.5809 0.6153 0.8234
Pd4 0.1727 0.7925 0.4017
Pd5 0.6198 0.7925 0.4017
Pd6 0.5478 0.0956 0.8024
Pd7 0.4522 0.9044 0.1976
Pd8 0.8273 0.2075 0.5983
Pd9 0.3802 0.2075 0.5983
Pd10 0.9657 0.3847 0.1766
Pd11 0.4191 0.3847 0.1766
Pd12 0.8630 0.7259 0.6149
Au1 0.7621 0.0000 0.0000
Au2 0.2379 0.0000 0.0000

Summary:
Total DFT energy (no corrections) ... -82.7 eV/f.u.



No. 18
Entry from Alexandria via LeMat-Bulk: crystalline TlPd7Au12 at its relaxed geometry (PBE).

a = 7.5586 Å, b = 7.5586 Å, c = 7.5586 Å
α = 107.08°, β = 107.08°, γ = 107.08°
Fractional positions:
Tl1 0.0000 0.0000 0.0000
Pd1 0.0991 0.6751 0.9793
Pd2 0.3249 0.0207 0.9009
Pd3 0.0207 0.9009 0.3249
Pd4 0.5000 0.5000 0.5000
Pd5 0.9793 0.0991 0.6751
Pd6 0.6751 0.9793 0.0991
Pd7 0.9009 0.3249 0.0207
Au1 0.7718 0.3416 0.6393
Au2 0.6584 0.3607 0.2282
Au3 0.4150 0.0315 0.3042
Au4 0.9685 0.6958 0.5850
Au5 0.3607 0.2282 0.6584
Au6 0.6958 0.5850 0.9685
Au7 0.3042 0.4150 0.0315
Au8 0.6393 0.7718 0.3416
Au9 0.0315 0.3042 0.4150
Au10 0.5850 0.9685 0.6958
Au11 0.3416 0.6393 0.7718
Au12 0.2282 0.6584 0.3607

Summary:
Total DFT energy (no corrections) ... -78.4 eV/f.u.



No. 19
Entry from Alexandria via LeMat-Bulk: crystalline Tl2Pd7Au2 at its relaxed geometry (PBE).

a = 4.9806 Å, b = 6.6441 Å, c = 6.6441 Å
α = 89.93°, β = 108.00°, γ = 108.00°
Fractional positions:
Tl1 0.5000 0.2185 0.7815
Tl2 0.5000 0.7815 0.2185
Pd1 0.1677 0.9258 0.4130
Pd2 0.8323 0.5870 0.0742
Pd3 0.8323 0.0742 0.5870
Pd4 0.1677 0.4130 0.9258
Pd5 0.0000 0.0000 0.0000
Pd6 0.8289 0.5924 0.5924
Pd7 0.1711 0.4076 0.4076
Au1 0.5452 0.2557 0.2557
Au2 0.4548 0.7443 0.7443

Summary:
Total DFT energy (no corrections) ... -48.1 eV/f.u.



No. 20
Entry from Alexandria via LeMat-Bulk: crystalline TlPd3Au at its relaxed geometry (PBE).

a = 9.1866 Å, b = 7.2728 Å, c = 7.2728 Å
α = 69.54°, β = 59.37°, γ = 59.37°
Fractional positions:
Tl1 0.2500 0.9911 0.0089
Tl2 0.7500 0.0089 0.9911
Tl3 0.2500 0.3737 0.6263
Tl4 0.7500 0.6263 0.3737
Pd1 0.5642 0.7403 0.0989
Pd2 0.9358 0.9011 0.2597
Pd3 0.4358 0.2597 0.9011
Pd4 0.0642 0.0989 0.7403
Pd5 0.9148 0.3640 0.0485
Pd6 0.5852 0.9515 0.6360
Pd7 0.0852 0.6360 0.9515
Pd8 0.4148 0.0485 0.3640
Pd9 0.3991 0.7019 0.7072
Pd10 0.1009 0.2928 0.2981
Pd11 0.6009 0.2981 0.2928
Pd12 0.8991 0.7072 0.7019
Au1 0.6997 0.4582 0.8255
Au2 0.8003 0.1745 0.5418
Au3 0.3003 0.5418 0.1745
Au4 0.1997 0.8255 0.4582

Summary:
Total DFT energy (no corrections) ... -21.5 eV/f.u.